No. 1
The following is a DFT calculation (PBE) of crystalline TlPd4Pb2 at its relaxed geometry.

```
TlPd4Pb2
1.0
10.8699 0.0000 0.0000
0.0000 4.4990 0.0000
0.0000 0.0000 11.5516
Tl Pd Pb
4 16 8
direct
0.2133 0.2500 0.1644
0.2867 0.7500 0.6644
0.7133 0.2500 0.3356
0.7867 0.7500 0.8356
0.0239 0.7500 0.6775
0.0631 0.7500 0.1608
0.1632 0.2500 0.5437
0.1818 0.2500 0.7826
0.3182 0.7500 0.2826
0.3368 0.7500 0.0437
0.4369 0.2500 0.6608
0.4761 0.2500 0.1775
0.5239 0.7500 0.8225
0.5631 0.7500 0.3392
0.6632 0.2500 0.9563
0.6818 0.2500 0.7174
0.8182 0.7500 0.2174
0.8368 0.7500 0.4563
0.9369 0.2500 0.8392
0.9761 0.2500 0.3225
0.0994 0.7500 0.4102
0.1023 0.7500 0.9192
0.3977 0.2500 0.4192
0.4006 0.2500 0.9102
0.5994 0.7500 0.0898
0.6023 0.7500 0.5808
0.8977 0.2500 0.0808
0.9006 0.2500 0.5898
```

Calculated values
total DFT energy (no corrections)	-32.06	eV/f.u.


No. 2
The following is a DFT calculation (PBE) of crystalline TlPd14Pb at its relaxed geometry.

```
TlPd14Pb
1.0
5.7780 0.0000 0.0000
0.0000 5.7780 0.0000
0.0000 0.0000 7.7891
Tl Pd Pb
1 14 1
direct
0.0000 0.0000 0.0000
0.0000 0.0000 0.5000
0.0000 0.5000 0.0000
0.0000 0.5000 0.5000
0.2500 0.2500 0.2564
0.2500 0.2500 0.7436
0.2500 0.7500 0.2564
0.2500 0.7500 0.7436
0.5000 0.0000 0.0000
0.5000 0.0000 0.5000
0.5000 0.5000 0.5000
0.7500 0.2500 0.2564
0.7500 0.2500 0.7436
0.7500 0.7500 0.2564
0.7500 0.7500 0.7436
0.5000 0.5000 0.0000
```

Calculated values
total DFT energy (no corrections)	-80.42	eV/f.u.


No. 3
The following is a DFT calculation (PBE) of crystalline TlPd2Pb7 at its relaxed geometry.

```
TlPd2Pb7
1.0
-2.4345 2.4345 11.8736
2.4345 -2.4345 11.8736
2.4345 2.4345 -11.8736
Tl Pd Pb
1 2 7
direct
0.0000 0.0000 0.0000
0.3187 0.3187 0.0000
0.6813 0.6813 0.0000
0.1081 0.6081 0.5000
0.2500 0.7500 0.5000
0.3919 0.8919 0.5000
0.5000 0.5000 0.0000
0.6081 0.1081 0.5000
0.7500 0.2500 0.5000
0.8919 0.3919 0.5000
```

Calculated values
total DFT energy (no corrections)	-39.41	eV/f.u.


No. 4
The following is a DFT calculation (PBE) of crystalline TlPd3Pb at its relaxed geometry.

```
TlPd3Pb
1.0
5.0700 0.0000 0.0000
0.0000 5.0700 0.0000
0.0000 0.0000 5.0700
Tl Pd Pb
1 3 1
direct
0.0000 0.0000 0.0000
0.0000 0.0000 0.5000
0.0000 0.5000 0.0000
0.5000 0.0000 0.0000
0.5000 0.5000 0.5000
```

Calculated values
relative energy among the computed polymorphs	682.1	meV/atom


No. 5
The following is a DFT calculation (PBE) of crystalline TlPd4Pb at its relaxed geometry.

```
TlPd4Pb
1.0
5.0856 0.0000 0.0000
0.0000 8.6162 0.0000
-1.0057 0.0000 4.9898
Tl Pd Pb
2 8 2
direct
0.0000 0.0000 0.0000
0.0000 0.5000 0.5000
0.0020 0.1685 0.5000
0.0020 0.3315 0.0000
0.4965 0.6681 0.4928
0.4965 0.8319 0.9928
0.5035 0.1681 0.0072
0.5035 0.3319 0.5072
0.9980 0.6685 0.0000
0.9980 0.8315 0.5000
0.5000 0.0000 0.5000
0.5000 0.5000 0.0000
```

Calculated values
relative energy among the computed polymorphs	10.3	meV/atom


No. 6
The following is a DFT calculation (PBE) of crystalline TlPd2Pb2 at its relaxed geometry.

```
TlPd2Pb2
1.0
-2.3709 2.3709 5.7531
2.3709 -2.3709 5.7531
2.3709 2.3709 -5.7531
Tl Pd Pb
1 2 2
direct
0.0000 0.0000 0.0000
0.3834 0.3834 0.0000
0.6166 0.6166 0.0000
0.2500 0.7500 0.5000
0.7500 0.2500 0.5000
```

Calculated values
relative energy among the computed polymorphs	153.8	meV/atom


No. 7
The following is a DFT calculation (PBE) of crystalline Tl2PdPb2 at its relaxed geometry.

```
Tl2PdPb2
1.0
7.2851 0.0000 0.0000
0.0000 7.2851 0.0000
0.0000 0.0000 5.4687
Tl Pd Pb
4 2 4
direct
0.1639 0.3361 0.0000
0.3361 0.8361 0.0000
0.6639 0.1639 0.0000
0.8361 0.6639 0.0000
0.0000 0.0000 0.5000
0.5000 0.5000 0.5000
0.1562 0.6562 0.5000
0.3438 0.1562 0.5000
0.6562 0.8438 0.5000
0.8438 0.3438 0.5000
```

Calculated values
relative energy among the computed polymorphs	102.7	meV/atom


No. 8
The following is a DFT calculation (PBE) of crystalline TlPd2Pb2 at its relaxed geometry.

```
TlPd2Pb2
1.0
5.5418 0.0000 0.0000
0.0000 4.4469 0.0000
-1.0166 0.0000 9.8475
Tl Pd Pb
2 4 4
direct
0.0729 0.2500 0.2800
0.9271 0.7500 0.7200
0.1528 0.7500 0.4666
0.2711 0.7500 0.1529
0.7289 0.2500 0.8471
0.8472 0.2500 0.5334
0.2536 0.2500 0.9598
0.3766 0.2500 0.6175
0.6234 0.7500 0.3825
0.7464 0.7500 0.0402
```

Calculated values
relative energy among the computed polymorphs	1.4	meV/atom


No. 9
The following is a DFT calculation (PBE) of crystalline TlPd8Pb2 at its relaxed geometry.

```
TlPd8Pb2
1.0
7.5094 -2.0868 0.0000
7.5094 2.0868 0.0000
-2.1033 0.0000 6.2159
Tl Pd Pb
1 8 2
direct
0.0000 0.0000 0.0000
0.0869 0.0869 0.4589
0.1737 0.1737 0.9186
0.3529 0.3529 0.7955
0.4643 0.4643 0.2695
0.5357 0.5357 0.7305
0.6471 0.6471 0.2045
0.8263 0.8263 0.0814
0.9131 0.9131 0.5411
0.2895 0.2895 0.3378
0.7105 0.7105 0.6622
```

Calculated values
relative energy among the computed polymorphs	21.7	meV/atom


No. 10
The following is a DFT calculation (PBE) of crystalline Tl5Pd12Pb2 at its relaxed geometry.

```
Tl5Pd12Pb2
1.0
6.8338 -4.2962 0.0000
6.8338 4.2962 0.0000
-0.7640 0.0000 6.1363
Tl Pd Pb
5 12 2
direct
0.0000 0.0000 0.0000
0.2488 0.2488 0.0258
0.3359 0.3359 0.5769
0.6641 0.6641 0.4231
0.7512 0.7512 0.9742
0.0383 0.5644 0.2966
0.1409 0.1409 0.3810
0.1747 0.6228 0.9079
0.3772 0.8253 0.0921
0.4356 0.9617 0.7034
0.4615 0.4615 0.2317
0.5385 0.5385 0.7683
0.5644 0.0383 0.2966
0.6228 0.1747 0.9079
0.8253 0.3772 0.0921
0.8591 0.8591 0.6190
0.9617 0.4356 0.7034
0.2168 0.7832 0.5000
0.7832 0.2168 0.5000
```

Calculated values
total DFT energy (no corrections)	-84.57	eV/f.u.


No. 11
The following is a DFT calculation (PBE) of crystalline TlPd5Pb at its relaxed geometry.

```
TlPd5Pb
1.0
-2.6860 3.4796 3.7900
2.6860 -3.4796 3.7900
2.6860 3.4796 -3.7900
Tl Pd Pb
1 5 1
direct
0.0000 0.0000 0.0000
0.0201 0.5201 0.5000
0.1407 0.3295 0.8113
0.5182 0.3295 0.1887
0.6701 0.4261 0.7560
0.6701 0.9142 0.2440
0.3654 0.8654 0.5000
```

Calculated values
relative energy among the computed polymorphs	252.6	meV/atom


No. 12
The following is a DFT calculation (PBE) of crystalline TlPdPb3 at its relaxed geometry.

```
TlPdPb3
1.0
8.2177 0.0000 0.0000
0.0000 4.5151 0.0000
-3.6413 0.0000 7.7766
Tl Pd Pb
2 2 6
direct
0.1583 0.2500 0.2669
0.8417 0.7500 0.7331
0.4086 0.7500 0.8933
0.5914 0.2500 0.1067
0.1675 0.7500 0.5456
0.1990 0.2500 0.9050
0.4799 0.7500 0.2645
0.5201 0.2500 0.7355
0.8010 0.7500 0.0950
0.8325 0.2500 0.4544
```

Calculated values
relative energy among the computed polymorphs	0.0	meV/atom